(1)
The following is a PBE calculation of crystalline LiTb2Sn3Se6 at its relaxed geometry, from the Alexandria database.

The value obtained for the magnetic moment is 0.0 μB per formula unit. The total energy is -4.677 eV/atom. As for the crystal system: monoclinic. The calculation puts the formation energy (no corrections) at -1.00 eV per atom. Its symmetry is C2/m.

The structure in extended XYZ format:
```
12
Lattice="9.227 -2.153 0.000 9.227 2.153 0.000 -2.217 0.000 8.066" Properties=species:S:1:pos:R:3 pbc="T T T"
Li 0.000 0.000 0.000
Tb 4.692 0.000 5.424
Tb 11.544 0.000 2.642
Sn -1.109 0.000 4.033
Sn 5.976 0.000 1.160
Sn 10.260 0.000 6.906
Se 2.844 0.000 0.716
Se 1.891 0.000 4.579
Se 7.441 0.000 6.115
Se 8.795 0.000 1.950
Se 14.345 0.000 3.487
Se 13.392 0.000 7.350
```

---

(2)
The following is a PBE calculation of crystalline Mo2HRuAu at its relaxed geometry, from the Alexandria database.

The value obtained for the magnetic moment is 0.0 μB per formula unit. The total energy is -7.373 eV/atom. As for the crystal system: tetragonal. Its symmetry is P4/mmm.

The structure in extended XYZ format:
```
5
Lattice="3.973 0.000 0.000 0.000 3.973 0.000 0.000 0.000 4.074" Properties=species:S:1:pos:R:3 pbc="T T T"
Mo 0.000 1.987 0.000
Mo 1.987 0.000 0.000
H 0.000 0.000 0.000
Ru 0.000 0.000 2.037
Au 1.987 1.987 2.037
```